Run 1
The following is a PBE-GGA calculation of ZrHg2Ru2 after structural relaxation, from Alexandria.

Output
- M_tot (μB/atom) = 0.00
- density of states at the Fermi level (states/eV/cell) = 6.93

Lattice parameters (Å, degrees): 6.7921 6.7921 4.1589 90.00 90.00 90.00
Last column: nearest neighbours and their distance in Å.
Fractional positions:
Hg  0.1690  0.6690  0.5000  6 Ru 2.83-2.92
Hg  0.8310  0.3310  0.5000  6 Ru 2.83-2.92
Hg  0.3310  0.1690  0.5000  6 Ru 2.83-2.92
Hg  0.6690  0.8310  0.5000  6 Ru 2.83-2.92
Ru  0.8691  0.6309  0.0000  1 Ru 2.51, 2 Zr 2.66
Ru  0.1309  0.3691  0.0000  1 Ru 2.51, 2 Zr 2.66
Ru  0.6309  0.1309  0.0000  1 Ru 2.51, 2 Zr 2.66
Ru  0.3691  0.8691  0.0000  1 Ru 2.51, 2 Zr 2.66
Zr  0.0000  0.0000  0.0000  4 Ru 2.66
Zr  0.5000  0.5000  0.0000  4 Ru 2.66



Run 2
The following is a PBE-GGA calculation of ZrHg2Ru2 after structural relaxation, from Alexandria.

Output
- M_tot (μB/atom) = 0.00
- density of states at the Fermi level (states/eV/cell) = 5.65

Lattice parameters (Å, degrees): 3.9796 3.9796 6.9221 73.29 73.29 90.00
Last column: nearest neighbours and their distance in Å.
Fractional positions:
Ru  0.4077  0.4077  0.1846  1 Ru 2.33
Ru  0.5923  0.5923  0.8154  1 Ru 2.33
Hg  0.7500  0.2500  0.5000  4 Hg 2.81, 4 Ru 2.82
Hg  0.2500  0.7500  0.5000  4 Hg 2.81, 4 Ru 2.82
Zr  0.0000  0.0000  0.0000  8 Ru 3.05



run 1 has the most favorable energy; the next structure is 230 meV/atom above.